# 1
{"formula": "La12DySn3", "functional": "GGA-PBE", "state": "optimized geometry", "lattice_angstrom": [[5.059, 0.000, 0.000], [0.000, 5.059, 0.000], [0.000, 0.000, 20.472]], "species": ["La", "La", "La", "La", "La", "La", "La", "La", "La", "La", "La", "La", "Dy", "Sn", "Sn", "Sn"], "fractional_positions": [[0.000, 0.000, 0.000], [0.000, 0.000, 0.245], [0.000, 0.000, 0.500], [0.000, 0.000, 0.755], [0.000, 0.500, 0.122], [0.000, 0.500, 0.369], [0.000, 0.500, 0.631], [0.000, 0.500, 0.878], [0.500, 0.000, 0.122], [0.500, 0.000, 0.369], [0.500, 0.000, 0.631], [0.500, 0.000, 0.878], [0.500, 0.500, 0.500], [0.500, 0.500, 0.000], [0.500, 0.500, 0.245], [0.500, 0.500, 0.755]], "final_energy_ev_per_atom": -5.085, "n_ef_per_ev_fu": 20.1, "spacegroup": "P4/mmm", "ef_ev_per_atom": -0.352}

=====

# 2
{"formula": "LaDySn", "functional": "GGA-PBE", "state": "optimized geometry", "lattice_angstrom": [[-2.349, 2.349, 8.698], [2.349, -2.349, 8.698], [2.349, 2.349, -8.698]], "species": ["La", "La", "Dy", "Dy", "Sn", "Sn"], "fractional_positions": [[0.177, 0.177, 0.000], [0.823, 0.823, 0.000], [0.000, 0.500, 0.500], [0.500, 0.000, 0.500], [0.371, 0.371, 0.000], [0.629, 0.629, 0.000]], "final_energy_ev_per_atom": -5.146, "n_ef_per_ev_fu": 3.1, "relative_energy_ev_per_atom": 0.0000, "spacegroup": "I4/mmm", "ef_ev_per_atom": -0.636}

=====

# 3
{"formula": "LaDySn6", "functional": "GGA-PBE", "state": "optimized geometry", "lattice_angstrom": [[4.820, 0.000, 0.000], [0.000, 4.820, 0.000], [0.000, 0.000, 9.288]], "species": ["La", "Dy", "Sn", "Sn", "Sn", "Sn", "Sn", "Sn"], "fractional_positions": [[0.000, 0.000, 0.000], [0.000, 0.000, 0.500], [0.000, 0.500, 0.257], [0.000, 0.500, 0.743], [0.500, 0.000, 0.257], [0.500, 0.000, 0.743], [0.500, 0.500, 0.000], [0.500, 0.500, 0.500]], "final_energy_ev_per_atom": -4.695, "n_ef_per_ev_fu": 4.3, "spacegroup": "P4/mmm", "ef_ev_per_atom": -0.501}

=====

no.,spin magnetization (μB/cell)
1,0.00
2,1.23
3,0.00